# 1
This record from Alexandria describes Zr2HgP at its PBEsol-relaxed geometry. The functional is SCAN.

Cell lengths 3.179, 3.179, 7.418 Å; angles 90.00, 90.00, 90.00 degrees
Element x y z (fractional)
Zr  0.000  0.000  0.291
Zr  0.000  0.000  0.709
Hg  0.500  0.500  0.000
P  0.500  0.500  0.500

ΔE_f = -0.675 eV per atom
energy relative to the lowest polymorph listed for this composition = 288 meV per atom
magnetic moment = 0.00 μB per cell



# 2
This record from Alexandria describes ZrHg3P at its PBEsol-relaxed geometry. The functional is SCAN.

Cell lengths 4.875, 4.875, 4.875 Å; angles 90.00, 90.00, 90.00 degrees
Element x y z (fractional)
Hg  0.000  0.000  0.500
Hg  0.000  0.500  0.000
Hg  0.500  0.000  0.000
Zr  0.500  0.500  0.500
P  0.000  0.000  0.000

ΔE_f = 0.690 eV per atom
magnetic moment = 0.00 μB per cell



# 3
This record from Alexandria describes Hg3Pb at its PBEsol-relaxed geometry. The functional is SCAN.

Cell lengths 3.415, 5.410, 5.419 Å; angles 90.00, 90.00, 90.00 degrees
Element x y z (fractional)
Hg  0.500  0.000  0.415
Hg  0.500  0.500  0.918
Hg  0.000  0.000  0.915
Pb  0.000  0.500  0.418

ΔE_f = 0.037 eV per atom
magnetic moment = 0.00 μB per cell



# 4
This record from Alexandria describes HgPb3 at its PBEsol-relaxed geometry. The functional is SCAN.

Cell lengths 3.375, 5.981, 5.981 Å; angles 111.65, 90.00, 90.00 degrees
Element x y z (fractional)
Pb  0.000  0.500  0.500
Pb  0.500  0.000  0.500
Pb  0.500  0.500  0.000
Hg  0.000  0.000  0.000

ΔE_f = 0.022 eV per atom
magnetic moment = 0.00 μB per cell



These records have calculated total energy values of -142.7; -242.1; -280.1; -295.4 eV for the cell shown, in the order they appear.
These records have D(E_F) values of 0.9509; 0.6423; 0.3683; 0.4418 states/eV/atom, in the order they appear.